No. 1
Pa2TaPb, relaxed, DFT PBE; distance to the lowest polymorph of the same formula = 0.040 eV per atom; space-group type = P4/mmm (123)
1.0
-1.187 -0.168 4.595
-4.128 -1.214 -1.111
1.214 -4.272 0.158
Pb Pa Ta
1 2 1
Cartesian
-2.051 -2.827 1.821
0.607 -2.136 0.079
-2.064 -0.607 -0.555
-0.594 -0.084 2.297


No. 2
AcPbO, relaxed, DFT PBE; formation energy (no corrections) = -1893 meV per atom; distance to the lowest polymorph of the same formula = 0.194 eV per atom; space-group type = Cmcm (63)
1.0
4.166 0.000 0.000
0.000 4.499 0.224
-2.083 -0.487 9.781
Ac O Pb
2 2 2
Cartesian
2.083 4.000 1.424
2.083 1.387 8.602
2.083 3.574 9.982
0.000 1.326 9.825
2.083 3.770 6.049
2.083 1.618 3.977